DFT (PBE-GGA) results for Ga2CuIr after structural relaxation.

- magnetization (μB per formula unit) = 0.0
- Fermi-level density of states (states/eV/atom) = 0.61
- formation energy from the elements (eV per atom) = 0.08

abc: 3.8568 3.8568 17.0609
angles: 90.00 90.00 90.00
With the nearest neighbours (Å) after each atom.
Fractional coordinates of all 16 atoms:
Ga 0.2498 0.2500 0.1250  2 Cu 2.53, 2 Ir 2.53, 4 Ga 2.73
Ga 0.2502 0.2500 0.6250  2 Cu 2.53, 2 Ir 2.53, 4 Ga 2.73
Ga 0.2500 0.7498 0.3750  2 Cu 2.53, 2 Ir 2.53, 4 Ga 2.73
Ga 0.2500 0.7502 0.8750  2 Cu 2.53, 2 Ir 2.53, 4 Ga 2.73
Ga 0.7500 0.2502 0.3750  2 Cu 2.53, 2 Ir 2.53, 4 Ga 2.73
Ga 0.7500 0.2498 0.8750  2 Cu 2.53, 2 Ir 2.53, 4 Ga 2.73
Ga 0.7502 0.7500 0.1250  2 Cu 2.53, 2 Ir 2.53, 4 Ga 2.73
Ga 0.7498 0.7500 0.6250  2 Cu 2.53, 2 Ir 2.53, 4 Ga 2.73
Cu 0.0000 0.0000 0.0000  4 Ga 2.53, 4 Ir 2.73
Cu 0.0000 0.5000 0.2500  4 Ga 2.53, 4 Ir 2.73
Cu 0.5000 0.0000 0.7500  4 Ga 2.53, 4 Ir 2.73
Cu 0.5000 0.5000 0.5000  4 Ga 2.53, 4 Ir 2.73
Ir 0.0000 0.0000 0.5000  4 Ga 2.53, 4 Cu 2.73
Ir 0.0000 0.5000 0.7500  4 Ga 2.53, 4 Cu 2.73
Ir 0.5000 0.0000 0.2500  4 Ga 2.53, 4 Cu 2.73
Ir 0.5000 0.5000 0.0000  4 Ga 2.53, 4 Cu 2.73